(1)
Density functional theory data (PBE) for an optimized crystal structure of Li6ZnNi2.

## Properties
Energy relative to the elements (meV per atom): 1
D(E_F) (states/eV/f.u.): 4.1
Electronic total energy (eV/atom): -2.70
M_tot (μB per atom): 0.0000
Calculated volume (Å³/cell): 127.8

Cell: 7.6656 7.6656 2.6990 Å, 94.16 94.16 125.29°
With the nearest neighbours (Å) after each atom.
Atoms (fractional coordinates):
Li: 0.0010 0.6491 0.6745  1 Li 2.40, 1 Ni 2.60
Li: 0.1807 0.1807 0.8473  2 Zn 2.57-2.63, 7 Li 2.70-2.80
Li: 0.3509 0.9990 0.3255  1 Li 2.40, 1 Ni 2.60
Li: 0.6491 0.0010 0.6745  1 Li 2.40, 1 Ni 2.60
Li: 0.8193 0.8193 0.1527  2 Zn 2.57-2.63, 7 Li 2.70-2.80
Li: 0.9990 0.3509 0.3255  1 Li 2.40, 1 Ni 2.60
Zn: 0.5000 0.5000 0.5000  4 Ni 2.47, 4 Li 2.57-2.63, 2 Zn 2.70
Ni: 0.3480 0.6520 0.0000  2 Zn 2.47, 6 Li 2.60-2.73, 2 Ni 2.70
Ni: 0.6520 0.3480 0.0000  2 Zn 2.47, 6 Li 2.60-2.73, 2 Ni 2.70


(2)
Density functional theory data (PBE) for an optimized crystal structure of Li5Zn5Ni2.

## Properties
Energy relative to the elements (meV per atom): -144
D(E_F) (states/eV/f.u.): 5.0
Electronic total energy (eV/atom): -2.44
M_tot (μB per atom): 0.0000
Calculated volume (Å³/cell): 175.3

Cell: 4.3075 4.3075 11.1518 Å, 100.32 100.32 59.99°
With the nearest neighbours (Å) after each atom.
Atoms (fractional coordinates):
Li: 0.0000 0.0000 0.0000  6 Zn 2.59-2.60
Li: 0.1959 0.1959 0.5887  1 Li 2.57, 6 Zn 2.66-2.82, 3 Ni 2.83-2.85
Li: 0.2744 0.2744 0.8242  1 Li 2.57, 7 Zn 2.65-2.81, 3 Ni 2.75-2.77
Li: 0.7256 0.7256 0.1758  1 Li 2.57, 7 Zn 2.65-2.81, 3 Ni 2.75-2.77
Li: 0.8041 0.8041 0.4113  1 Li 2.57, 6 Zn 2.66-2.82, 3 Ni 2.83-2.85
Zn: 0.0977 0.0977 0.2917  3 Ni 2.49, 2 Li 2.78
Zn: 0.3546 0.3546 0.0666  1 Ni 2.40, 4 Li 2.59-2.65
Zn: 0.5000 0.5000 0.5000  2 Ni 2.33
Zn: 0.6454 0.6454 0.9334  1 Ni 2.40, 4 Li 2.59-2.65
Zn: 0.9023 0.9023 0.7083  3 Ni 2.49, 2 Li 2.78
Ni: 0.4293 0.4293 0.2866  5 Zn 2.33-2.49
Ni: 0.5707 0.5707 0.7134  5 Zn 2.33-2.49


(3)
Density functional theory data (PBE) for an optimized crystal structure of Li5Zn4Ni.

## Properties
Energy relative to the elements (meV per atom): -92
D(E_F) (states/eV/f.u.): 3.2
Electronic total energy (eV/atom): -2.14
M_tot (μB per atom): 0.0000
Calculated volume (Å³/cell): 159.7

Cell: 7.2457 7.2457 6.7928 Å, 113.99 113.99 29.58°
With the nearest neighbours (Å) after each atom.
Atoms (fractional coordinates):
Li: 0.0000 0.0000 0.0000  4 Zn 2.61, 4 Li 2.86
Li: 0.3295 0.3295 0.8802  5 Zn 2.74-2.94, 5 Li 2.77-2.87
Li: 0.3419 0.3419 0.2985  5 Zn 2.57-2.87, 2 Ni 2.77, 3 Li 2.77-2.87
Li: 0.6581 0.6581 0.7015  5 Zn 2.57-2.87, 2 Ni 2.77, 3 Li 2.77-2.87
Li: 0.6705 0.6705 0.1198  5 Zn 2.74-2.94, 5 Li 2.77-2.87
Zn: 0.1743 0.1743 0.4369  1 Ni 2.65, 7 Li 2.66-2.95, 4 Zn 2.67
Zn: 0.4771 0.4771 0.7135  2 Ni 2.45, 5 Li 2.57-2.74, 2 Zn 2.67
Zn: 0.5229 0.5229 0.2865  2 Ni 2.45, 5 Li 2.57-2.74, 2 Zn 2.67
Zn: 0.8257 0.8257 0.5631  1 Ni 2.65, 7 Li 2.66-2.95, 4 Zn 2.67
Ni: 0.0000 0.0000 0.5000  6 Zn 2.45-2.65


(4)
Density functional theory data (PBE) for an optimized crystal structure of Li3Zn4Ni2.

## Properties
Energy relative to the elements (meV per atom): -210
D(E_F) (states/eV/f.u.): 5.3
Electronic total energy (eV/atom): -2.70
M_tot (μB per atom): 0.0000
Calculated volume (Å³/cell): 117.0

Cell: 4.1679 4.1679 7.7748 Å, 90.00 90.00 120.00°
With the nearest neighbours (Å) after each atom.
Atoms (fractional coordinates):
Li: 0.0000 0.0000 0.0000  8 Zn 2.52-2.58
Li: 0.3333 0.6667 0.4489  3 Li 2.53, 4 Zn 2.57-2.59, 1 Ni 2.64
Li: 0.6667 0.3333 0.5511  3 Li 2.53, 4 Zn 2.57-2.59, 1 Ni 2.64
Zn: 0.0000 0.0000 0.3240  4 Li 2.52-2.59, 3 Ni 2.56, 1 Zn 2.74
Zn: 0.0000 0.0000 0.6760  4 Li 2.52-2.59, 3 Ni 2.56, 1 Zn 2.74
Zn: 0.3333 0.6667 0.1183  4 Ni 2.51-2.56, 4 Li 2.57-2.58
Zn: 0.6667 0.3333 0.8817  4 Ni 2.51-2.56, 4 Li 2.57-2.58
Ni: 0.3333 0.6667 0.7886  7 Zn 2.51-2.56, 1 Li 2.64
Ni: 0.6667 0.3333 0.2114  7 Zn 2.51-2.56, 1 Li 2.64


Question: electronic total energy of number 3 (Li5Zn4Ni)?
Answer: -2.14 eV/atom